[1]
10
Lattice="-2.719 2.444 1.913 -1.245 -5.707 1.072 3.894 0.153 5.340" Properties=species:S:1:pos:R:3 comment="PuNi2SbH (PBE-GGA, relaxed)" magnetic_moment_mub_per_atom=1.0120 final_energy_ev_per_atom=-7.021 n_ef_per_ev_cell=25.24 space_group=Cmcm pbc="T T T"
Ni 1.433 -1.190 3.558
Ni 2.927 -1.131 5.606
Ni -1.503 -1.920 4.767
Ni -2.997 -1.979 2.719
Pu 0.651 -3.794 5.773
Pu -0.720 0.684 2.552
Sb -0.497 -2.494 2.480
Sb 0.427 -0.616 5.845
H 0.000 0.000 0.000
H 1.947 0.077 2.670


[2]
4
Lattice="9.129 -0.042 -0.025 8.599 3.066 -0.025 8.599 1.466 2.692" Properties=species:S:1:pos:R:3 comment="LaTaOs2 (PBE-GGA, relaxed)" magnetic_moment_mub_per_atom=0.0001 final_energy_ev_per_atom=-9.447 n_ef_per_ev_cell=4.33 space_group=R-3m formation_energy_ev_per_atom=0.3626 pbc="T T T"
La 19.746 3.367 1.982
Os 13.467 2.296 1.352
Os 26.025 4.438 2.612
Ta 6.582 1.122 0.661


[3]
4
Lattice="-3.766 -0.580 -0.286 0.644 -3.512 -1.361 -0.060 -1.492 3.821" Properties=species:S:1:pos:R:3 comment="SiNiAg2 (PBE-GGA, relaxed)" magnetic_moment_mub_per_atom=0.0000 final_energy_ev_per_atom=-4.027 n_ef_per_ev_cell=2.45 space_group=P4/mmm raw_formation_energy_mev_per_atom=200 pbc="T T T"
Ag 0.000 0.000 0.000
Ag -1.561 -2.046 -0.823
Ni -1.913 -1.036 1.768
Si 0.292 -2.502 1.230